[1]
A relaxed structure of In2OsPb. Source: the Alexandria database, functional PBE-GGA.

Summary:
**N(E_F)**: 2.8 states/eV per cell
**E_tot**: -17.5 eV for the cell shown
**ΔH_f (0 K)**: 0.73 eV per atom

Cell lengths 5.017, 5.017, 3.452 Å; angles 90.00, 90.00, 90.00 degrees
Fractional positions:
In: 0.000 0.500 0.000
In: 0.500 0.000 0.000
Os: 0.000 0.000 0.500
Pb: 0.500 0.500 0.500

[2]
A relaxed structure of Ca2FeCN. Source: the Alexandria database, functional PBE-GGA.

Summary:
**N(E_F)**: 3.5 states/eV per cell
**Raw formation energy**: 4.40 eV/f.u.
**E_tot**: -25.6 eV for the cell shown

Cell lengths 5.055, 5.055, 3.118 Å; angles 90.00, 90.00, 90.00 degrees
Fractional positions:
Ca: 0.000 0.500 0.000
Ca: 0.500 0.000 0.000
Fe: 0.000 0.000 0.500
C: 0.500 0.500 0.500
N: 0.500 0.500 0.000

[3]
A relaxed structure of Sm4CoBr5. Source: the Alexandria database, functional PBE-GGA.

Summary:
**N(E_F)**: 4.9 states/eV per cell
**Raw formation energy**: -13.46 eV/f.u.
**E_tot**: -47.8 eV for the cell shown

Cell lengths 9.667, 9.667, 8.596 Å; angles 103.33, 103.33, 23.82 degrees
Fractional positions:
Sm: 0.000 0.000 0.211
Sm: 0.000 0.000 0.789
Sm: 0.353 0.353 0.917
Sm: 0.647 0.647 0.083
Co: 0.500 0.500 0.000
Br: 0.167 0.167 0.343
Br: 0.174 0.174 0.842
Br: 0.500 0.500 0.500
Br: 0.826 0.826 0.158
Br: 0.833 0.833 0.657

[4]
A relaxed structure of GaSiN2. Source: the Alexandria database, functional PBE-GGA.

Summary:
**Energy above the lowest structure with this stoichiometry**: 4.33 kJ per mole of atoms
**N(E_F)**: 1.6 states/eV per cell
**Raw formation energy**: -1.16 eV/f.u.
**E_tot**: -26.3 eV for the cell shown

Cell lengths 5.980, 5.980, 5.980 Å; angles 27.73, 27.73, 27.73 degrees
Fractional positions:
Ga: 0.000 0.000 0.000
Si: 0.500 0.500 0.500
N: 0.112 0.112 0.112
N: 0.888 0.888 0.888